DFT (PBE) results for a relaxed Pu2PaO7 crystal.

For the uncorrected formation energy, the calculation gives -71.05 kcal/mol of atoms. Its symmetry is R-3m (166). The density of states at the Fermi level is 8.7 states/eV/f.u.

Cell and atoms, written as extended XYZ:
```
10
Lattice="1.930 1.114 10.445 -1.930 1.114 10.445 0.000 -2.228 10.445" Properties=species:S:1:pos:R:3 pbc="T T T"
Pu 0.000 0.000 2.061
Pu 0.000 0.000 29.273
Pa 0.000 0.000 15.667
O 0.000 0.000 0.000
O 0.000 0.000 4.547
O 0.000 0.000 8.728
O 0.000 0.000 13.492
O 0.000 0.000 17.843
O 0.000 0.000 22.607
O 0.000 0.000 26.788
```

DFT (PBE) results for a relaxed Pu4PaO10 crystal.

For the uncorrected formation energy, the calculation gives -75.89 kcal/mol of atoms. Its symmetry is I4/m (87). The density of states at the Fermi level is 16.1 states/eV/f.u.

Cell and atoms, written as extended XYZ:
```
15
Lattice="-4.281 4.281 2.705 4.281 -4.281 2.705 4.281 4.281 -2.705" Properties=species:S:1:pos:R:3 pbc="T T T"
Pu 5.981 0.847 0.000
Pu 0.847 2.581 0.000
Pu 3.434 1.700 2.705
Pu -1.700 3.434 2.705
Pa 0.000 0.000 2.705
O 5.133 2.603 -1.333
O 2.603 3.429 -1.333
O 4.281 0.000 1.353
O 1.678 0.852 1.373
O -0.852 1.678 1.373
O 5.133 2.603 1.333
O 2.603 3.429 1.333
O 0.000 4.281 1.353
O 1.678 0.852 4.038
O -0.852 1.678 4.038
```

DFT (PBE) results for a relaxed Pu3PaO6 crystal.

For the uncorrected formation energy, the calculation gives -68.12 kcal/mol of atoms. Its symmetry is C2/m (12). The density of states at the Fermi level is 21.4 states/eV/f.u.

Cell and atoms, written as extended XYZ:
```
10
Lattice="5.315 -3.022 0.000 5.315 3.022 0.000 -3.389 0.000 4.973" Properties=species:S:1:pos:R:3 pbc="T T T"
Pu 0.000 0.000 0.000
Pu 0.238 0.000 3.549
Pu 7.004 0.000 1.424
Pa 3.621 0.000 2.487
O 2.146 1.486 3.248
O 2.398 0.000 0.580
O 5.095 1.486 1.725
O 2.146 -1.486 3.248
O 4.844 0.000 4.393
O 5.095 -1.486 1.725
```

DFT (PBE) results for a relaxed PuPaO crystal.

For the uncorrected formation energy, the calculation gives -29.24 kcal/mol of atoms. Its symmetry is C2/m (12). The density of states at the Fermi level is 8.0 states/eV/f.u.

Cell and atoms, written as extended XYZ:
```
6
Lattice="6.914 -1.667 0.000 6.914 1.667 0.000 -2.479 0.000 5.727" Properties=species:S:1:pos:R:3 pbc="T T T"
Pu 2.592 0.000 1.262
Pu 8.758 0.000 4.465
Pa 4.756 0.000 4.417
Pa 6.594 0.000 1.310
O 4.607 0.000 2.209
O 6.742 0.000 3.518
```

DFT (PBE) results for a relaxed PuPaO2 crystal.

For the uncorrected formation energy, the calculation gives -40.57 kcal/mol of atoms. Its symmetry is P4/mmm (123). The density of states at the Fermi level is 9.3 states/eV/f.u.

Cell and atoms, written as extended XYZ:
```
4
Lattice="3.087 0.000 0.000 0.000 3.087 0.000 0.000 0.000 6.311" Properties=species:S:1:pos:R:3 pbc="T T T"
Pu 0.000 0.000 0.000
Pa 0.000 0.000 3.155
O 1.544 1.544 1.804
O 1.544 1.544 4.507
```

DFT (PBE) results for a relaxed Pu3PaO crystal.

For the uncorrected formation energy, the calculation gives -16.66 kcal/mol of atoms. Its symmetry is Pm-3m (221). The density of states at the Fermi level is 22.2 states/eV/f.u.

Cell and atoms, written as extended XYZ:
```
5
Lattice="4.774 0.000 0.000 0.000 4.774 0.000 0.000 0.000 4.774" Properties=species:S:1:pos:R:3 pbc="T T T"
Pu 0.000 0.000 2.387
Pu 0.000 2.387 0.000
Pu 2.387 0.000 0.000
Pa 2.387 2.387 2.387
O 0.000 0.000 0.000
```

DFT (PBE) results for a relaxed PuPa2O7 crystal.

For the uncorrected formation energy, the calculation gives -79.13 kcal/mol of atoms. Its symmetry is R-3m (166). The density of states at the Fermi level is 5.3 states/eV/f.u.

Cell and atoms, written as extended XYZ:
```
10
Lattice="1.929 1.114 10.528 -1.929 1.114 10.528 0.000 -2.227 10.528" Properties=species:S:1:pos:R:3 pbc="T T T"
Pu 0.000 0.000 0.000
Pa 0.000 0.000 13.690
Pa 0.000 0.000 17.895
O 0.000 0.000 2.317
O 0.000 0.000 6.965
O 0.000 0.000 11.303
O 0.000 0.000 15.793
O 0.000 0.000 20.282
O 0.000 0.000 24.620
O 0.000 0.000 29.268
```

DFT (PBE) results for a relaxed PuPa2O6 crystal.

For the uncorrected formation energy, the calculation gives -81.43 kcal/mol of atoms. Its symmetry is P-3m1 (164). The density of states at the Fermi level is 7.6 states/eV/f.u.

Cell and atoms, written as extended XYZ:
```
9
Lattice="3.890 0.000 0.000 -1.945 3.369 0.000 0.000 0.000 9.377" Properties=species:S:1:pos:R:3 pbc="T T T"
Pu 0.000 0.000 0.000
Pa 0.000 2.246 6.281
Pa 1.945 1.123 3.096
O 0.000 0.000 2.477
O 0.000 0.000 6.900
O 0.000 2.246 3.914
O 0.000 2.246 8.473
O 1.945 1.123 0.904
O 1.945 1.123 5.463
```

DFT (PBE) results for a relaxed PuPa3O crystal.

For the uncorrected formation energy, the calculation gives -20.91 kcal/mol of atoms. Its symmetry is Pm-3m (221). The density of states at the Fermi level is 8.6 states/eV/f.u.

Cell and atoms, written as extended XYZ:
```
5
Lattice="4.785 0.000 0.000 0.000 4.785 0.000 0.000 0.000 4.785" Properties=species:S:1:pos:R:3 pbc="T T T"
Pu 0.000 0.000 0.000
Pa 0.000 2.392 2.392
Pa 2.392 0.000 2.392
Pa 2.392 2.392 0.000
O 2.392 2.392 2.392
```

DFT (PBE) results for a relaxed Pu6PaO12 crystal.

For the uncorrected formation energy, the calculation gives -73.69 kcal/mol of atoms. Its symmetry is R-3 (148). The density of states at the Fermi level is 34.9 states/eV/f.u.

Cell and atoms, written as extended XYZ:
```
19
Lattice="5.101 2.945 3.183 -5.101 2.945 3.183 0.000 -5.891 3.183" Properties=species:S:1:pos:R:3 pbc="T T T"
Pu -2.756 -2.563 4.924
Pu -3.598 1.105 4.623
Pu 0.842 -3.668 4.623
Pu -0.842 3.668 4.924
Pu 3.598 -1.105 4.924
Pu 2.756 2.563 4.623
Pa 0.000 0.000 4.774
O -1.311 -4.225 4.141
O -4.314 -0.978 5.407
O -1.912 -0.358 3.747
O -3.004 3.248 4.141
O 1.266 -1.477 3.747
O -0.646 -1.835 5.801
O 0.646 1.835 3.747
O -1.266 1.477 5.801
O 3.004 -3.248 5.407
O 1.912 0.358 5.801
O 4.314 0.978 4.141
O 1.311 4.225 5.407
```

DFT (PBE) results for a relaxed Rb4Pu3PaO12 crystal.

For the uncorrected formation energy, the calculation gives -61.59 kcal/mol of atoms. Its symmetry is Im-3m (229). The density of states at the Fermi level is 17.2 states/eV/f.u.

Cell and atoms, written as extended XYZ:
```
20
Lattice="-4.341 4.341 4.341 4.341 -4.341 4.341 4.341 4.341 -4.341" Properties=species:S:1:pos:R:3 pbc="T T T"
Rb 2.170 2.170 -2.170
Rb 2.170 -2.170 2.170
Rb -2.170 2.170 2.170
Rb 2.170 2.170 2.170
Pu 4.341 0.000 0.000
Pu 0.000 4.341 0.000
Pu 0.000 0.000 4.341
Pa 0.000 0.000 0.000
O 2.187 0.000 0.000
O 6.495 0.000 0.000
O 4.341 2.170 0.000
O 4.341 0.000 2.170
O 0.000 2.187 0.000
O 0.000 0.000 2.187
O 2.170 4.341 0.000
O 2.170 0.000 4.341
O 0.000 6.495 0.000
O 0.000 0.000 6.495
O 0.000 4.341 2.170
O 0.000 2.170 4.341
```

DFT (PBE) results for a relaxed Rb3PuPa2O9 crystal.

For the uncorrected formation energy, the calculation gives -67.18 kcal/mol of atoms. Its symmetry is P-3m1 (164). The density of states at the Fermi level is 10.0 states/eV/f.u.

Cell and atoms, written as extended XYZ:
```
15
Lattice="6.191 0.000 0.000 -3.095 5.361 0.000 0.000 0.000 7.586" Properties=species:S:1:pos:R:3 pbc="T T T"
Rb 0.000 0.000 0.000
Rb 0.000 3.574 5.047
Rb 3.095 1.787 2.539
Pu 0.000 0.000 3.793
Pa 0.000 3.574 1.284
Pa 3.095 1.787 6.301
O -1.548 2.681 0.000
O 0.000 1.773 2.546
O -1.560 4.475 2.546
O 1.536 0.887 5.040
O 3.095 0.000 0.000
O 1.548 2.681 0.000
O 1.560 4.475 2.546
O 4.655 0.887 5.040
O 3.095 3.588 5.040
```

DFT (PBE) results for a relaxed PuPaRhO6 crystal.

For the uncorrected formation energy, the calculation gives -53.19 kcal/mol of atoms. Its symmetry is P-31c (163). The density of states at the Fermi level is 6.3 states/eV/f.u.

Cell and atoms, written as extended XYZ:
```
18
Lattice="5.728 0.000 0.000 -2.864 4.961 0.000 0.000 0.000 8.539" Properties=species:S:1:pos:R:3 pbc="T T T"
Pu 0.000 3.307 2.135
Pu 2.864 1.654 6.404
Pa 0.000 3.307 6.404
Pa 2.864 1.654 2.135
Rh 0.000 0.000 0.000
Rh 0.000 0.000 4.270
O -0.908 1.604 5.343
O -1.929 3.372 7.465
O 0.908 1.604 7.465
O -1.021 4.945 5.343
O 1.843 0.016 1.074
O 0.935 1.588 3.196
O 1.929 3.372 5.343
O 1.021 4.945 7.465
O 3.885 0.016 3.196
O 1.956 3.357 1.074
O 4.793 1.588 1.074
O 3.772 3.357 3.196
```

DFT (PBE) results for a relaxed PuPaSbO2 crystal.

For the uncorrected formation energy, the calculation gives -55.74 kcal/mol of atoms. Its symmetry is I4mm (107). The density of states at the Fermi level is 8.9 states/eV/f.u.

Cell and atoms, written as extended XYZ:
```
5
Lattice="-1.970 1.970 6.223 1.970 -1.970 6.223 1.970 1.970 -6.223" Properties=species:S:1:pos:R:3 pbc="T T T"
Pu 0.000 0.000 0.000
Pa 0.000 0.000 8.719
Sb 0.000 0.000 4.390
O 1.970 0.000 1.393
O 0.000 1.970 1.393
```

DFT (PBE) results for a relaxed PuScPaO6 crystal.

For the uncorrected formation energy, the calculation gives -76.08 kcal/mol of atoms. Its symmetry is P312 (149). The density of states at the Fermi level is 4.7 states/eV/f.u.

Cell and atoms, written as extended XYZ:
```
9
Lattice="5.557 0.000 0.000 -2.778 4.812 0.000 0.000 0.000 4.777" Properties=species:S:1:pos:R:3 pbc="T T T"
Pu 0.000 0.000 0.000
Sc 0.000 3.208 0.000
Pa 2.778 1.604 2.388
O -0.943 1.652 1.142
O -1.819 3.169 3.634
O 0.943 1.652 3.634
O -0.876 4.803 1.142
O 1.819 3.169 1.142
O 0.876 4.803 3.634
```

DFT (PBE) results for a relaxed PuPaTcO6 crystal.

For the uncorrected formation energy, the calculation gives -61.26 kcal/mol of atoms. Its symmetry is P-31c (163). The density of states at the Fermi level is 9.3 states/eV/f.u.

Cell and atoms, written as extended XYZ:
```
18
Lattice="5.468 0.000 0.000 -2.734 4.735 0.000 0.000 0.000 9.893" Properties=species:S:1:pos:R:3 pbc="T T T"
Pu 0.000 0.000 0.000
Pu 0.000 0.000 4.947
Pa 0.000 3.157 2.473
Pa 2.734 1.578 7.420
Tc 0.000 3.157 7.420
Tc 2.734 1.578 2.473
O -0.851 1.662 6.276
O -1.720 3.167 8.564
O 0.851 1.662 8.564
O -0.869 4.641 6.276
O 1.865 0.094 1.330
O 1.014 1.568 3.617
O 1.720 3.167 6.276
O 0.869 4.641 8.564
O 3.603 0.094 3.617
O 1.883 3.073 1.330
O 4.454 1.568 1.330
O 3.585 3.073 3.617
```

DFT (PBE) results for a relaxed PuPaTe2O crystal.

For the uncorrected formation energy, the calculation gives -36.19 kcal/mol of atoms. Its symmetry is P4/nmm (129). The density of states at the Fermi level is 9.3 states/eV/f.u.

Cell and atoms, written as extended XYZ:
```
10
Lattice="4.154 0.000 0.000 0.000 4.154 0.000 0.000 0.000 14.532" Properties=species:S:1:pos:R:3 pbc="T T T"
Pu 1.038 1.038 1.086
Pu 3.115 3.115 13.446
Pa 1.038 1.038 8.555
Pa 3.115 3.115 5.977
Te 1.038 1.038 5.367
Te 1.038 1.038 11.672
Te 3.115 3.115 2.861
Te 3.115 3.115 9.165
O 1.038 3.115 0.000
O 3.115 1.038 0.000
```

DFT (PBE) results for a relaxed PuPaTeO2 crystal.

For the uncorrected formation energy, the calculation gives -58.20 kcal/mol of atoms. Its symmetry is I4mm (107). The density of states at the Fermi level is 8.9 states/eV/f.u.

Cell and atoms, written as extended XYZ:
```
5
Lattice="-1.985 1.985 6.268 1.985 -1.985 6.268 1.985 1.985 -6.268" Properties=species:S:1:pos:R:3 pbc="T T T"
Pu 0.000 0.000 0.000
Pa 0.000 0.000 3.802
Te 0.000 0.000 8.149
O 1.985 0.000 4.909
O 0.000 1.985 4.909
```

DFT (PBE) results for a relaxed PuPaTi2O8 crystal.

For the uncorrected formation energy, the calculation gives -73.71 kcal/mol of atoms. Its symmetry is I-4 (82). The density of states at the Fermi level is 11.8 states/eV/f.u.

Cell and atoms, written as extended XYZ:
```
12
Lattice="-2.600 2.600 5.554 2.600 -2.600 5.554 2.600 2.600 -5.554" Properties=species:S:1:pos:R:3 pbc="T T T"
Pu 0.000 0.000 0.000
Pa 2.600 0.000 2.777
Ti 0.000 0.000 5.554
Ti 0.000 2.600 2.777
O 1.260 0.920 -1.861
O 1.331 -0.854 4.563
O 1.745 1.268 0.991
O 1.679 -1.340 7.415
O 1.268 3.454 -0.991
O 1.340 1.679 3.692
O 0.854 1.331 6.545
O 0.920 3.939 1.861
```

DFT (PBE) results for a relaxed PuPaTiO6 crystal.

For the uncorrected formation energy, the calculation gives -73.79 kcal/mol of atoms. Its symmetry is P-31c (163). The density of states at the Fermi level is 8.8 states/eV/f.u.

Cell and atoms, written as extended XYZ:
```
18
Lattice="5.533 0.000 0.000 -2.766 4.792 0.000 0.000 0.000 9.657" Properties=species:S:1:pos:R:3 pbc="T T T"
Pu 0.000 0.000 0.000
Pu 0.000 0.000 4.828
Pa 0.000 3.194 2.414
Pa 2.766 1.597 7.243
Ti 0.000 3.194 7.243
Ti 2.766 1.597 2.414
O -0.870 1.748 6.162
O -1.688 3.164 8.323
O 0.870 1.748 8.323
O -0.817 4.671 6.162
O 1.949 0.120 1.334
O 1.079 1.628 3.495
O 1.688 3.164 6.162
O 0.817 4.671 8.323
O 3.584 0.120 3.495
O 1.896 3.043 1.334
O 4.454 1.628 1.334
O 3.637 3.043 3.495
```